No. 1
Material: La2Si3Ni4Pd
Method: DFT, PBE-GGA
State: optimized geometry

Computed properties:
- N(E_F) (states/eV/f.u.) = 6.10
- space group = P-4m2
- total energy (eV/atom) = -6.13

Cell lengths 4.0825, 4.0825, 9.9812 Å; angles 90.00, 90.00, 90.00 degrees
Fractional coordinates of all 10 atoms:
1 La 0.5000 0.0000 0.2509
2 La 0.0000 0.5000 0.7491
3 Ni 0.5000 0.0000 0.6479
4 Ni 0.0000 0.0000 0.0000
5 Ni 0.5000 0.5000 0.0000
6 Ni 0.0000 0.5000 0.3521
7 Si 0.5000 0.0000 0.8842
8 Si 0.0000 0.5000 0.1158
9 Si 0.0000 0.0000 0.5000
10 Pd 0.5000 0.5000 0.5000


No. 2
Material: Sm3Y3Er
Method: DFT, PBE-GGA
State: optimized geometry

Computed properties:
- N(E_F) (states/eV/f.u.) = 11.32
- offset from the most stable computed form (eV per atom) = 0.078
- ΔH_f (0 K) (eV per formula unit) = 1.67
- space group = R-3
- total energy (eV/atom) = -5.21

Cell lengths 8.7283, 8.7283, 8.7990 Å; angles 60.27, 60.27, 60.00 degrees
Fractional coordinates of all 14 atoms:
1 Sm 0.7083 0.9374 0.1754
2 Sm 0.9374 0.1790 0.1754
3 Sm 0.2917 0.0626 0.8246
4 Sm 0.8210 0.2917 0.8246
5 Sm 0.0626 0.8210 0.8246
6 Sm 0.1790 0.7083 0.1754
7 Er 0.6501 0.6501 0.0496
8 Er 0.3499 0.3499 0.9504
9 Y 0.5687 0.7239 0.6445
10 Y 0.0629 0.5687 0.6445
11 Y 0.9371 0.4313 0.3555
12 Y 0.7239 0.0629 0.6445
13 Y 0.2761 0.9371 0.3555
14 Y 0.4313 0.2761 0.3555


No. 3
Material: PuInPbAu
Method: DFT, PBE-GGA
State: optimized geometry

Computed properties:
- N(E_F) (states/eV/f.u.) = 12.85
- ΔH_f (0 K) (eV per formula unit) = -0.72
- space group = F-43m
- total energy (eV/atom) = -6.19

Cell lengths 5.2043, 5.2043, 5.2043 Å; angles 60.00, 60.00, 60.00 degrees
Site moments in Bohr magnetons follow the coordinates.
Fractional coordinates of all 4 atoms:
1 Pb 0.7500 0.7500 0.7500  0.03
2 In 0.5000 0.5000 0.5000  0.00
3 Pu 0.0000 0.0000 0.0000  5.45
4 Au 0.2500 0.2500 0.2500  0.00


No. 4
Material: SrLiMn2
Method: DFT, PBE-GGA
State: optimized geometry

Computed properties:
- N(E_F) (states/eV/f.u.) = 3.53
- offset from the most stable computed form (eV per atom) = 0.470
- ΔH_f (0 K) (eV per formula unit) = 3.35
- space group = I4_1/amd
- total energy (eV/atom) = -4.65

Cell lengths 4.5108, 4.5108, 10.0103 Å; angles 76.98, 76.98, 90.00 degrees
Site moments in Bohr magnetons follow the coordinates.
Fractional coordinates of all 8 atoms:
1 Li 0.2500 0.7500 0.5000  -0.02
2 Li 0.5000 0.5000 0.0000  -0.02
3 Mn 0.3750 0.1250 0.2500  2.50
4 Mn 0.3750 0.6250 0.2500  2.49
5 Mn 0.8750 0.6250 0.7500  2.67
6 Mn 0.3750 0.6250 0.7500  2.68
7 Sr 0.0000 0.0000 0.0000  -0.03
8 Sr 0.7500 0.2500 0.5000  -0.03


No. 5
Material: Ho2Er4Tm5
Method: DFT, PBE-GGA
State: optimized geometry

Computed properties:
- N(E_F) (states/eV/f.u.) = 19.65
- offset from the most stable computed form (eV per atom) = 0.068
- ΔH_f (0 K) (eV per formula unit) = 1.02
- space group = C2/m
- total energy (eV/atom) = -4.43

Cell lengths 3.4573, 11.5093, 14.7100 Å; angles 143.92, 96.75, 90.00 degrees
Fractional coordinates of all 11 atoms:
1 Tm 0.9065 0.2685 0.8131
2 Tm 0.8733 0.9214 0.7465
3 Tm 0.0935 0.7315 0.1869
4 Tm 0.5000 0.0000 0.0000
5 Tm 0.1267 0.0786 0.2535
6 Er 0.7611 0.1712 0.5222
7 Er 0.3142 0.5490 0.6284
8 Er 0.2389 0.8288 0.4778
9 Er 0.6858 0.4510 0.3716
10 Ho 0.4566 0.6170 0.9132
11 Ho 0.5434 0.3830 0.0868


total energy of number 4 (SrLiMn2)? -4.65 eV/atom


Please write out number 4 again, unchanged.
Material: SrLiMn2
Method: DFT, PBE-GGA
State: optimized geometry

Computed properties:
- N(E_F) (states/eV/f.u.) = 3.53
- offset from the most stable computed form (eV per atom) = 0.470
- ΔH_f (0 K) (eV per formula unit) = 3.35
- space group = I4_1/amd
- total energy (eV/atom) = -4.65

Cell lengths 4.5108, 4.5108, 10.0103 Å; angles 76.98, 76.98, 90.00 degrees
Site moments in Bohr magnetons follow the coordinates.
Fractional coordinates of all 8 atoms:
1 Li 0.2500 0.7500 0.5000  -0.02
2 Li 0.5000 0.5000 0.0000  -0.02
3 Mn 0.3750 0.1250 0.2500  2.50
4 Mn 0.3750 0.6250 0.2500  2.49
5 Mn 0.8750 0.6250 0.7500  2.67
6 Mn 0.3750 0.6250 0.7500  2.68
7 Sr 0.0000 0.0000 0.0000  -0.03
8 Sr 0.7500 0.2500 0.5000  -0.03


What did the second record say?
Material: Sm3Y3Er
Method: DFT, PBE-GGA
State: optimized geometry

Computed properties:
- N(E_F) (states/eV/f.u.) = 11.32
- offset from the most stable computed form (eV per atom) = 0.078
- ΔH_f (0 K) (eV per formula unit) = 1.67
- space group = R-3
- total energy (eV/atom) = -5.21

Cell lengths 8.7283, 8.7283, 8.7990 Å; angles 60.27, 60.27, 60.00 degrees
Fractional coordinates of all 14 atoms:
1 Sm 0.7083 0.9374 0.1754
2 Sm 0.9374 0.1790 0.1754
3 Sm 0.2917 0.0626 0.8246
4 Sm 0.8210 0.2917 0.8246
5 Sm 0.0626 0.8210 0.8246
6 Sm 0.1790 0.7083 0.1754
7 Er 0.6501 0.6501 0.0496
8 Er 0.3499 0.3499 0.9504
9 Y 0.5687 0.7239 0.6445
10 Y 0.0629 0.5687 0.6445
11 Y 0.9371 0.4313 0.3555
12 Y 0.7239 0.0629 0.6445
13 Y 0.2761 0.9371 0.3555
14 Y 0.4313 0.2761 0.3555


Among the records above, which one has the lowest total energy? PuInPbAu